Run w
Below is ReRuRh after structural relaxation, with properties calculated at the PBE-GGA level.

Calculated values
- Crystal system: orthorhombic
- Magnetization: 0.00 μB per formula unit
- V: 104.3 Å³ per cell

Cell lengths 5.2893, 4.3405, 4.5413 Å; angles 90.00, 90.00, 90.00 degrees
Fractional coordinates of all 6 atoms:
Re: 0.0000 0.0000 0.0000
Re: 0.5000 0.0000 0.0000
Ru: 0.2500 0.5000 0.1162
Ru: 0.7500 0.5000 0.8838
Rh: 0.2500 0.0000 0.5067
Rh: 0.7500 0.0000 0.4933

Run x
Below is ReRuRh after structural relaxation, with properties calculated at the PBE-GGA level.

Calculated values
- Crystal system: trigonal
- Magnetization: 0.00 μB per formula unit
- V: 43.2 Å³ per cell

Cell lengths 2.7339, 2.7339, 6.6816 Å; angles 90.00, 90.00, 120.00 degrees
Fractional coordinates of all 3 atoms:
Re: 0.0000 0.0000 0.0000
Ru: 0.3333 0.6667 0.6808
Rh: 0.6667 0.3333 0.3365

Tell me which of them is the least stable. Sure, it is run w.

Run w
Below is ReRuRh after structural relaxation, with properties calculated at the PBE-GGA level.

Calculated values
- Crystal system: tetragonal
- Magnetization: 0.00 μB per formula unit
- V: 43.3 Å³ per cell

Cell lengths 6.0301, 6.0301, 6.0301 Å; angles 153.61, 153.61, 37.67 degrees
Fractional coordinates of all 3 atoms:
Re: 0.0000 0.0000 0.0000
Ru: 0.3431 0.3431 0.0000
Rh: 0.6662 0.6662 0.0000

Run x
Below is ReRuRh after structural relaxation, with properties calculated at the PBE-GGA level.

Calculated values
- Crystal system: monoclinic
- Magnetization: 0.00 μB per formula unit
- V: 85.9 Å³ per cell

Cell lengths 4.7370, 4.7370, 4.6791 Å; angles 99.15, 99.15, 120.28 degrees
Fractional coordinates of all 6 atoms:
Re: 0.0863 0.9137 0.7500
Re: 0.9137 0.0863 0.2500
Ru: 0.2440 0.7560 0.2500
Ru: 0.7560 0.2440 0.7500
Rh: 0.4165 0.5835 0.7500
Rh: 0.5835 0.4165 0.2500

Run y
Below is ReRuRh after structural relaxation, with properties calculated at the PBE-GGA level.

Calculated values
- Crystal system: hexagonal
- Magnetization: 0.00 μB per formula unit
- V: 44.2 Å³ per cell

Cell lengths 4.3157, 4.3157, 2.7382 Å; angles 90.00, 90.00, 120.00 degrees
Fractional coordinates of all 3 atoms:
Re: 0.0000 0.0000 0.0000
Ru: 0.3333 0.6667 0.0000
Rh: 0.6667 0.3333 0.5000

Run z
Below is ReRuRh after structural relaxation, with properties calculated at the PBE-GGA level.

Calculated values
- Crystal system: orthorhombic
- Magnetization: 0.00 μB per formula unit
- V: 171.0 Å³ per cell

Cell lengths 4.7702, 4.3472, 8.2441 Å; angles 90.00, 90.00, 90.00 degrees
Fractional coordinates of all 12 atoms:
Re: 0.1684 0.2500 0.1652
Re: 0.3316 0.7500 0.6652
Re: 0.6684 0.2500 0.3348
Re: 0.8316 0.7500 0.8348
Ru: 0.1583 0.2500 0.8311
Ru: 0.3417 0.7500 0.3311
Ru: 0.6583 0.2500 0.6689
Ru: 0.8417 0.7500 0.1689
Rh: 0.1667 0.2500 0.4980
Rh: 0.3333 0.7500 0.9980
Rh: 0.6667 0.2500 0.0020
Rh: 0.8333 0.7500 0.5020

Tell me which of them is the least stable. Sure, it is run y.

Run w
Below is ReRu3Rh after structural relaxation, with properties calculated at the PBE-GGA level.

Calculated values
- Crystal system: trigonal
- Magnetization: 3.89 μB per formula unit
- V: 99.0 Å³ per cell

Cell lengths 5.1809, 5.1809, 5.1809 Å; angles 60.28, 60.28, 60.28 degrees
Fractional coordinates of all 5 atoms:
Re: 0.0000 0.0000 0.0000
Ru: 0.0000 0.5000 0.5000
Ru: 0.5000 0.0000 0.5000
Ru: 0.5000 0.5000 0.0000
Rh: 0.5000 0.5000 0.5000

Run x
Below is ReRu3Rh after structural relaxation, with properties calculated at the PBE-GGA level.

Calculated values
- Crystal system: cubic
- Magnetization: 3.61 μB per formula unit
- V: 99.4 Å³ per cell

Cell lengths 4.6316, 4.6316, 4.6316 Å; angles 90.00, 90.00, 90.00 degrees
Fractional coordinates of all 5 atoms:
Re: 0.0000 0.0000 0.0000
Ru: 0.0000 0.0000 0.5000
Ru: 0.0000 0.5000 0.0000
Ru: 0.5000 0.0000 0.0000
Rh: 0.5000 0.5000 0.5000

Tell me which of them is the least stable. Sure, it is run x.

Run w
Below is ReRuRh4 after structural relaxation, with properties calculated at the PBE-GGA level.

Calculated values
- Crystal system: cubic
- Magnetization: 0.00 μB per formula unit
- V: 89.1 Å³ per cell

Cell lengths 5.0130, 5.0130, 5.0130 Å; angles 60.00, 60.00, 60.00 degrees
Fractional coordinates of all 6 atoms:
Re: 0.0000 0.0000 0.0000
Ru: 0.2500 0.2500 0.2500
Rh: 0.1255 0.6248 0.6248
Rh: 0.6248 0.1255 0.6248
Rh: 0.6248 0.6248 0.1255
Rh: 0.6248 0.6248 0.6248

Run x
Below is ReRuRh4 after structural relaxation, with properties calculated at the PBE-GGA level.

Calculated values
- Crystal system: monoclinic
- Magnetization: 0.00 μB per formula unit
- V: 208.9 Å³ per cell

Cell lengths 6.7758, 6.7758, 5.0121 Å; angles 107.52, 107.52, 87.71 degrees
Fractional coordinates of all 12 atoms:
Re: 0.2004 0.7996 0.7500
Re: 0.7996 0.2004 0.2500
Ru: 0.3009 0.6991 0.2500
Ru: 0.6991 0.3009 0.7500
Rh: 0.0475 0.4594 0.7476
Rh: 0.0945 0.1736 0.0019
Rh: 0.1736 0.0945 0.5019
Rh: 0.4594 0.0475 0.2476
Rh: 0.5406 0.9525 0.7524
Rh: 0.8264 0.9055 0.4981
Rh: 0.9055 0.8264 0.9981
Rh: 0.9525 0.5406 0.2524

Run y
Below is ReRuRh4 after structural relaxation, with properties calculated at the PBE-GGA level.

Calculated values
- Crystal system: monoclinic
- Magnetization: 0.00 μB per formula unit
- V: 89.1 Å³ per cell

Cell lengths 4.5305, 4.5305, 5.2293 Å; angles 105.73, 105.73, 109.77 degrees
Fractional coordinates of all 6 atoms:
Re: 0.0000 0.0000 0.0000
Ru: 0.5000 0.5000 0.5000
Rh: 0.0560 0.4348 0.7503
Rh: 0.4348 0.0560 0.7503
Rh: 0.5652 0.9440 0.2497
Rh: 0.9440 0.5652 0.2497

Tell me which of them is the least stable. Sure, it is run x.

Run w
Below is ReRu4Rh after structural relaxation, with properties calculated at the PBE-GGA level.

Calculated values
- Crystal system: monoclinic
- Magnetization: 0.00 μB per formula unit
- V: 84.9 Å³ per cell

Cell lengths 6.0936, 6.0936, 5.4258 Å; angles 102.78, 102.78, 25.65 degrees
Fractional coordinates of all 6 atoms:
Re: 0.0000 0.0000 0.0000
Ru: 0.3302 0.3302 0.1612
Ru: 0.3335 0.3335 0.6686
Ru: 0.6665 0.6665 0.3314
Ru: 0.6698 0.6698 0.8388
Rh: 0.0000 0.0000 0.5000

Run x
Below is ReRu4Rh after structural relaxation, with properties calculated at the PBE-GGA level.

Calculated values
- Crystal system: cubic
- Magnetization: 0.00 μB per formula unit
- V: 89.1 Å³ per cell

Cell lengths 5.0136, 5.0136, 5.0136 Å; angles 60.00, 60.00, 60.00 degrees
Fractional coordinates of all 6 atoms:
Re: 0.0000 0.0000 0.0000
Ru: 0.1264 0.6245 0.6245
Ru: 0.6245 0.1264 0.6245
Ru: 0.6245 0.6245 0.1264
Ru: 0.6245 0.6245 0.6245
Rh: 0.2500 0.2500 0.2500

Tell me which of them is the least stable. Sure, it is run x.

Run w
Below is ReRu2Rh8 after structural relaxation, with properties calculated at the PBE-GGA level.

Calculated values
- Crystal system: monoclinic
- Magnetization: 0.00 μB per formula unit
- V: 181.6 Å³ per cell

Cell lengths 6.6152, 6.6152, 4.4909 Å; angles 102.47, 102.47, 73.71 degrees
Fractional coordinates of all 11 atoms:
Re: 0.0000 0.0000 0.0000
Ru: 0.1400 0.1400 0.5510
Ru: 0.8600 0.8600 0.4490
Rh: 0.1907 0.6522 0.2078
Rh: 0.2481 0.2481 0.1286
Rh: 0.3478 0.8093 0.7922
Rh: 0.3999 0.3999 0.7283
Rh: 0.6001 0.6001 0.2717
Rh: 0.6522 0.1907 0.2078
Rh: 0.7519 0.7519 0.8714
Rh: 0.8093 0.3478 0.7922

Run x
Below is ReRu2Rh8 after structural relaxation, with properties calculated at the PBE-GGA level.

Calculated values
- Crystal system: monoclinic
- Magnetization: 0.00 μB per formula unit
- V: 155.9 Å³ per cell

Cell lengths 7.1953, 7.1953, 6.0693 Å; angles 104.53, 104.53, 30.93 degrees
Fractional coordinates of all 11 atoms:
Re: 0.0000 0.0000 0.0000
Ru: 0.2758 0.2758 0.3720
Ru: 0.7242 0.7242 0.6280
Rh: 0.0938 0.0938 0.4477
Rh: 0.1818 0.1818 0.9154
Rh: 0.3659 0.3659 0.8181
Rh: 0.4536 0.4536 0.2688
Rh: 0.5464 0.5464 0.7312
Rh: 0.6341 0.6341 0.1819
Rh: 0.8182 0.8182 0.0846
Rh: 0.9062 0.9062 0.5523

Tell me which of them is the least stable. Sure, it is run w.

Run w
Below is ReRh3S after structural relaxation, with properties calculated at the PBE-GGA level.

Calculated values
- Crystal system: cubic
- Magnetization: 4.16 μB per formula unit
- V: 82.7 Å³ per cell

Cell lengths 4.3576, 4.3576, 4.3576 Å; angles 90.00, 90.00, 90.00 degrees
Fractional coordinates of all 5 atoms:
Re: 0.0000 0.0000 0.0000
Rh: 0.0000 0.5000 0.5000
Rh: 0.5000 0.0000 0.5000
Rh: 0.5000 0.5000 0.0000
S: 0.5000 0.5000 0.5000

Run x
Below is ReRh3S after structural relaxation, with properties calculated at the PBE-GGA level.

Calculated values
- Crystal system: cubic
- Magnetization: 0.00 μB per formula unit
- V: 103.8 Å³ per cell

Cell lengths 4.7001, 4.7001, 4.7001 Å; angles 90.00, 90.00, 90.00 degrees
Fractional coordinates of all 5 atoms:
Re: 0.0000 0.0000 0.0000
Rh: 0.0000 0.0000 0.5000
Rh: 0.0000 0.5000 0.0000
Rh: 0.5000 0.0000 0.0000
S: 0.5000 0.5000 0.5000

Tell me which of them is the least stable. Sure, it is run x.

Run w
Below is ReRhS3 after structural relaxation, with properties calculated at the PBE-GGA level.

Calculated values
- Crystal system: cubic
- Magnetization: 0.00 μB per formula unit
- V: 90.2 Å³ per cell

Cell lengths 4.4850, 4.4850, 4.4850 Å; angles 90.00, 90.00, 90.00 degrees
Fractional coordinates of all 5 atoms:
Re: 0.0000 0.0000 0.0000
Rh: 0.5000 0.5000 0.5000
S: 0.0000 0.5000 0.5000
S: 0.5000 0.0000 0.5000
S: 0.5000 0.5000 0.0000

Run x
Below is ReRhS3 after structural relaxation, with properties calculated at the PBE-GGA level.

Calculated values
- Crystal system: cubic
- Magnetization: 1.28 μB per formula unit
- V: 96.9 Å³ per cell

Cell lengths 4.5927, 4.5927, 4.5927 Å; angles 90.00, 90.00, 90.00 degrees
Fractional coordinates of all 5 atoms:
Re: 0.0000 0.0000 0.0000
Rh: 0.5000 0.5000 0.5000
S: 0.0000 0.0000 0.5000
S: 0.0000 0.5000 0.0000
S: 0.5000 0.0000 0.0000

Tell me which of them is the least stable. Sure, it is run w.

Run w
Below is ReSbRh after structural relaxation, with properties calculated at the PBE-GGA level.

Calculated values
- Crystal system: cubic
- Magnetization: 0.00 μB per formula unit
- V: 58.7 Å³ per cell

Cell lengths 4.3622, 4.3622, 4.3622 Å; angles 60.00, 60.00, 60.00 degrees
Fractional coordinates of all 3 atoms:
Re: 0.0000 0.0000 0.0000
Sb: 0.7500 0.7500 0.7500
Rh: 0.2500 0.2500 0.2500

Run x
Below is ReSbRh after structural relaxation, with properties calculated at the PBE-GGA level.

Calculated values
- Crystal system: tetragonal
- Magnetization: 0.00 μB per formula unit
- V: 51.2 Å³ per cell

Cell lengths 5.9519, 5.9519, 5.9519 Å; angles 150.45, 150.45, 42.28 degrees
Fractional coordinates of all 3 atoms:
Re: 0.0000 0.0000 0.0000
Sb: 0.3281 0.3281 0.0000
Rh: 0.6454 0.6454 0.0000

Tell me which of them is the least stable. Sure, it is run w.

Run w
Below is ScRe2Rh after structural relaxation, with properties calculated at the PBE-GGA level.

Calculated values
- Crystal system: orthorhombic
- Magnetization: 0.00 μB per formula unit
- V: 64.1 Å³ per cell

Cell lengths 2.7612, 4.3398, 5.3457 Å; angles 90.00, 90.00, 90.00 degrees
Fractional coordinates of all 4 atoms:
Sc: 0.0000 0.0000 0.0000
Re: 0.5000 0.5000 0.2639
Re: 0.5000 0.5000 0.7361
Rh: 0.0000 0.0000 0.5000

Run x
Below is ScRe2Rh after structural relaxation, with properties calculated at the PBE-GGA level.

Calculated values
- Crystal system: tetragonal
- Magnetization: 0.00 μB per formula unit
- V: 63.8 Å³ per cell

Cell lengths 3.1581, 3.1581, 6.3926 Å; angles 90.00, 90.00, 90.00 degrees
Fractional coordinates of all 4 atoms:
Sc: 0.0000 0.0000 0.0000
Re: 0.5000 0.5000 0.2641
Re: 0.5000 0.5000 0.7359
Rh: 0.0000 0.0000 0.5000

Tell me which of them is the least stable. Sure, it is run x.

Run w
Below is ReRhSe after structural relaxation, with properties calculated at the PBE-GGA level.

Calculated values
- Crystal system: cubic
- Magnetization: 0.00 μB per formula unit
- V: 53.0 Å³ per cell

Cell lengths 4.2155, 4.2155, 4.2155 Å; angles 60.00, 60.00, 60.00 degrees
Fractional coordinates of all 3 atoms:
Re: 0.0000 0.0000 0.0000
Rh: 0.2500 0.2500 0.2500
Se: 0.7500 0.7500 0.7500

Run x
Below is ReRhSe after structural relaxation, with properties calculated at the PBE-GGA level.

Calculated values
- Crystal system: hexagonal
- Magnetization: 0.01 μB per formula unit
- V: 46.6 Å³ per cell

Cell lengths 4.2044, 4.2044, 3.0460 Å; angles 90.00, 90.00, 120.00 degrees
Fractional coordinates of all 3 atoms:
Re: 0.0000 0.0000 0.0000
Rh: 0.6667 0.3333 0.5000
Se: 0.3333 0.6667 0.0000

Tell me which of them is the least stable. Sure, it is run x.

Run w
Below is ReRhSe4 after structural relaxation, with properties calculated at the PBE-GGA level.

Calculated values
- Crystal system: monoclinic
- Magnetization: 0.00 μB per formula unit
- V: 238.1 Å³ per cell

Cell lengths 8.0582, 8.0582, 5.4410 Å; angles 108.55, 108.55, 119.58 degrees
Fractional coordinates of all 12 atoms:
Re: 0.0504 0.9496 0.7500
Re: 0.9496 0.0504 0.2500
Rh: 0.3105 0.6895 0.2500
Rh: 0.6895 0.3105 0.7500
Se: 0.0174 0.6220 0.7877
Se: 0.2228 0.3357 0.8429
Se: 0.3357 0.2228 0.3429
Se: 0.3780 0.9826 0.7123
Se: 0.6220 0.0174 0.2877
Se: 0.6643 0.7772 0.6571
Se: 0.7772 0.6643 0.1571
Se: 0.9826 0.3780 0.2123

Run x
Below is ReRhSe4 after structural relaxation, with properties calculated at the PBE-GGA level.

Calculated values
- Crystal system: monoclinic
- Magnetization: 0.06 μB per formula unit
- V: 135.8 Å³ per cell

Cell lengths 6.7279, 6.7279, 5.9205 Å; angles 100.69, 100.69, 31.08 degrees
Fractional coordinates of all 6 atoms:
Re: 0.0000 0.0000 0.0000
Rh: 0.4986 0.4986 0.5936
Se: 0.0981 0.0981 0.4353
Se: 0.4030 0.4030 0.1796
Se: 0.6303 0.6303 0.9652
Se: 0.8651 0.8651 0.6619

Tell me which of them is the least stable. Sure, it is run w.